Mn2CdP PBE optimized geometry; uncorrected energy = -24.669 eV/cell; E above lowest polymorph = 0.024 eV per atom; space-group type = Pmm2, No. 25; energy of formation from the pure elements = -1 meV per atom
1.0
2.9338 0.0000 0.0000
0.0000 3.0291 0.0000
0.0000 0.0000 6.8175
Mn Cd P
2 1 1
Direct
0.0000 0.0000 0.0000
0.5000 0.0000 0.3600
0.5000 0.5000 0.7087
0.0000 0.5000 0.2498

***

Mn3CdP PBE optimized geometry; uncorrected energy = -33.039 eV/cell; E above lowest polymorph = 0.000 eV per atom; space-group type = Pm-3m, No. 221; energy of formation from the pure elements = 159 meV per atom
1.0
4.4006 0.0000 0.0000
0.0000 4.4006 0.0000
0.0000 0.0000 4.4006
Mn Cd P
3 1 1
Direct
0.0000 0.0000 0.5000
0.0000 0.5000 0.0000
0.5000 0.0000 0.0000
0.5000 0.5000 0.5000
0.0000 0.0000 0.0000

***

MnCd2P PBE optimized geometry; uncorrected energy = -14.939 eV/cell; space-group type = C2/m, No. 12; energy of formation from the pure elements = 368 meV per atom
1.0
2.7187 -4.8803 0.0000
2.7187 4.8803 0.0000
-0.9562 0.0000 2.8037
Mn Cd P
1 2 1
Direct
0.0000 0.0000 0.0000
0.0000 0.5000 0.5000
0.5000 0.0000 0.5000
0.5000 0.5000 0.0000

***

Question: Among the records above, which one has the highest energy of formation from the pure elements?
Answer: MnCd2P

***

Question: energy of formation from the pure elements of number 3 (MnCd2P)?
Answer: 368 meV per atom